# 1
! PBE Ac4Al2In, optimized geometry; values from VASP
! * SG: R-3m
! * final energy: -3.99 eV per atom
! * energy of formation: -0.184 eV per atom
! * M_tot: 0.00 μB/f.u.
&SYSTEM
  ibrav = 0, nat = 7, ntyp = 3
/
ATOMIC_SPECIES
In 114.82 In.upf
Ac 227.00 Ac.upf
Al 26.98 Al.upf
CELL_PARAMETERS angstrom
-5.0857 0.7696 -2.2448
-1.8142 -3.4076 -4.0735
-5.8887 -6.4179 4.1253
ATOMIC_POSITIONS crystal
In 0.0000 0.0000 0.0000
Ac 0.3811 0.3811 0.8568
Ac 0.1289 0.1289 0.6133
Ac 0.6189 0.6189 0.1432
Ac 0.8711 0.8711 0.3867
Al 0.7488 0.7488 0.7537
Al 0.2512 0.2512 0.2463

# 2
! PBE Li6ZnAu2, optimized geometry; values from VASP
! * SG: C2/m
! * ΔE to the lowest computed polymorph: 8 meV/atom
! * final energy: -2.48 eV per atom
! * energy of formation: -0.334 eV per atom
! * M_tot: 0.00 μB/f.u.
&SYSTEM
  ibrav = 0, nat = 9, ntyp = 3
/
ATOMIC_SPECIES
Li 6.94 Li.upf
Au 196.97 Au.upf
Zn 65.41 Zn.upf
CELL_PARAMETERS angstrom
-0.6936 1.3655 -2.2732
5.4484 -3.6436 -3.8511
-5.7950 -5.4681 4.4781
ATOMIC_POSITIONS crystal
Li 0.8316 0.6642 0.6647
Li 0.5000 0.3356 0.0000
Li 0.1684 0.9995 0.3353
Li 0.5000 0.6644 0.0000
Li 0.8316 0.0005 0.6647
Li 0.1684 0.3358 0.3353
Au 0.3261 0.3328 0.6655
Au 0.6739 0.6672 0.3345
Zn 0.0000 0.0000 0.0000

# 3
! PBE Li2NdHo2Ge2, optimized geometry; values from VASP
! * SG: R-3m
! * final energy: -4.34 eV per atom
! * energy of formation: -0.486 eV per atom
! * M_tot: 0.00 μB/f.u.
&SYSTEM
  ibrav = 0, nat = 7, ntyp = 4
/
ATOMIC_SPECIES
Ge 72.64 Ge.upf
Li 6.94 Li.upf
Ho 164.93 Ho.upf
Nd 144.24 Nd.upf
CELL_PARAMETERS angstrom
-2.7831 0.0869 -3.5470
-4.4633 -0.1131 0.6329
-2.5916 8.9366 -0.6139
ATOMIC_POSITIONS crystal
Ge 0.2591 0.2591 0.2226
Ge 0.7409 0.7409 0.7774
Li 0.5939 0.5939 0.2184
Li 0.4061 0.4061 0.7816
Ho 0.1284 0.1284 0.6148
Ho 0.8716 0.8716 0.3852
Nd 0.0000 0.0000 0.0000

# 4
! PBE Dy4Hg2N, optimized geometry; values from VASP
! * SG: Pbam
! * ΔE to the lowest computed polymorph: 117 meV/atom
! * final energy: -4.52 eV per atom
! * ΔE_f (raw): -611 meV per atom
! * M_tot: 0.00 μB/f.u.
&SYSTEM
  ibrav = 0, nat = 14, ntyp = 3
/
ATOMIC_SPECIES
Dy 162.50 Dy.upf
Hg 200.59 Hg.upf
N 14.01 N.upf
CELL_PARAMETERS angstrom
3.5935 0.0000 0.0000
0.0000 7.8485 0.0000
0.0000 0.0000 12.3970
ATOMIC_POSITIONS crystal
Dy 0.0000 0.3826 0.1832
Dy 0.5000 0.3042 0.9486
Dy 0.5000 0.8042 0.5514
Dy 0.0000 0.8826 0.3168
Dy 0.0000 0.6174 0.8168
Dy 0.5000 0.1958 0.4486
Dy 0.0000 0.1174 0.6832
Dy 0.5000 0.6958 0.0514
Hg 0.5000 0.4336 0.6518
Hg 0.5000 0.0664 0.1518
Hg 0.5000 0.5664 0.3482
Hg 0.5000 0.9336 0.8482
N 0.0000 0.5000 0.0000
N 0.0000 0.0000 0.5000